[1]
Here is B2PPtRhC after structural relaxation from Alexandria. Energies are from GGA-PBE.

```
data_B2PPtRhC
_symmetry_space_group_name_H-M 'P 1'
_symmetry_Int_Tables_number 1
_cell_length_a 2.8186
_cell_length_b 4.2623
_cell_length_c 6.5241
_cell_angle_alpha 88.64
_cell_angle_beta 86.20
_cell_angle_gamma 72.03
loop_
_symmetry_equiv_pos_as_xyz
'x,y,z'
loop_
_atom_site_label
_atom_site_fract_x
_atom_site_fract_y
_atom_site_fract_z
_atom_site_occupancy
B1 0.0000 0.0000 0.0000 1
B2 0.2384 0.5163 0.0959 1
P1 0.6876 0.4853 0.5540 1
Pt1 0.3744 0.0433 0.6640 1
Rh1 0.5957 0.7816 0.2586 1
C1 0.4206 0.1697 0.0057 1
```

Output
Crystal system: triclinic
ΔH_f (0 K) (eV per atom): 0.07
Polymorph energy (0 for the lowest one) (eV/f.u.): 0.77
Total magnetization (μB/cell): 0.00

[2]
Here is B2PPtRhC after structural relaxation from Alexandria. Energies are from GGA-PBE.

```
data_B2PPtRhC
_symmetry_space_group_name_H-M 'P 1'
_symmetry_Int_Tables_number 1
_cell_length_a 2.8320
_cell_length_b 3.9138
_cell_length_c 7.3123
_cell_angle_alpha 81.57
_cell_angle_beta 78.95
_cell_angle_gamma 68.84
loop_
_symmetry_equiv_pos_as_xyz
'x,y,z'
loop_
_atom_site_label
_atom_site_fract_x
_atom_site_fract_y
_atom_site_fract_z
_atom_site_occupancy
B1 0.0000 0.0000 0.0000 1
B2 0.1777 0.5501 0.0962 1
P1 0.4085 0.6167 0.5723 1
Pt1 0.6830 0.3323 0.3053 1
Rh1 0.6443 0.0096 0.7088 1
C1 0.4074 0.1950 0.9899 1
```

Output
Crystal system: triclinic
ΔH_f (0 K) (eV per atom): 0.10
Polymorph energy (0 for the lowest one) (eV/f.u.): 0.94
Total magnetization (μB/cell): 0.00

[3]
Here is B2PPtRhC after structural relaxation from Alexandria. Energies are from GGA-PBE.

```
data_B2PPtRhC
_symmetry_space_group_name_H-M 'C 1 m 1'
_symmetry_Int_Tables_number 8
_cell_length_a 7.7829
_cell_length_b 2.8288
_cell_length_c 6.5762
_cell_angle_alpha 90.00
_cell_angle_beta 107.53
_cell_angle_gamma 90.00
loop_
_symmetry_equiv_pos_as_xyz
'x,y,z'
'x,-y,z'
'x+1/2,y+1/2,z'
'x+1/2,-y+1/2,z'
loop_
_atom_site_label
_atom_site_fract_x
_atom_site_fract_y
_atom_site_fract_z
_atom_site_occupancy
B1 0.0000 0.0000 0.0000 1
B2 0.1934 0.0000 0.8788 1
P1 0.4670 0.0000 0.3789 1
Pt1 0.4218 0.5000 0.6386 1
Rh1 0.1848 0.5000 0.2056 1
C1 0.2926 0.5000 0.9178 1
```

Output
Crystal system: monoclinic
ΔH_f (0 K) (eV per atom): -0.06
Polymorph energy (0 for the lowest one) (eV/f.u.): 0.00
Total magnetization (μB/cell): 0.00